Density functional theory data (GGA-PBE) for a geometry-optimized CaPr4Th2 structure.

Geometry as extended XYZ:
```
7
Lattice="3.6597 0.0000 0.3444 1.8136 3.1787 0.3444 -0.1703 -0.0989 21.4277" Properties=species:S:1:pos:R:3 pbc="T T T"
Pr 0.4128 0.2398 15.2306
Ca 0.0000 0.0000 0.0000
Pr 1.9580 1.1371 18.4278
Pr 4.8901 2.8400 6.8859
Th 0.9600 0.5575 9.4157
Pr 3.3450 1.9426 3.6886
Th 4.3430 2.5222 12.7007
```

The calculation puts the total energy at -35.57 eV per cell. The crystal system is trigonal.

Density functional theory data (GGA-PBE) for a geometry-optimized CaPrTh structure.

Geometry as extended XYZ:
```
6
Lattice="-3.5039 0.4539 -0.8276 -1.3471 -1.4440 -3.0444 -5.9338 -16.3313 8.2091" Properties=species:S:1:pos:R:3 pbc="T T T"
Ca -1.9785 -1.6699 -0.4952
Th -4.1037 -9.5477 4.1817
Pr -2.7748 -4.6217 1.2572
Ca -8.8063 -15.6515 4.8323
Pr -8.0100 -12.6997 3.0798
Th -6.6811 -7.7737 0.1553
```

The distance to the lowest polymorph of the same formula is 8.35 kJ/mol of atoms. The crystal system is trigonal.

Density functional theory data (GGA-PBE) for a geometry-optimized CaPr6Th structure.

Geometry as extended XYZ:
```
8
Lattice="-1.5576 -4.3331 2.5254 2.9515 1.3461 4.1300 -8.0763 5.2665 4.0552" Properties=species:S:1:pos:R:3 pbc="T T T"
Pr -6.7436 1.7231 4.2577
Th -4.0382 2.6333 2.0276
Pr -0.6357 2.0499 3.1252
Pr -2.8902 -0.7897 2.3229
Pr -4.4891 4.5627 5.0600
Pr -3.3412 1.1397 5.3553
Pr 0.6970 -1.4935 3.3277
Ca 0.0000 0.0000 0.0000
```

The calculation puts the total energy at -37.64 eV per cell. The crystal system is tetragonal.

Density functional theory data (GGA-PBE) for a geometry-optimized CaPr2Th structure.

Geometry as extended XYZ:
```
4
Lattice="5.8620 0.0000 0.0000 2.9310 5.0767 0.0000 2.9310 1.6922 4.7863" Properties=species:S:1:pos:R:3 pbc="T T T"
Pr 2.9310 1.6922 1.1966
Th 0.0000 0.0000 0.0000
Ca 5.8620 3.3844 2.3932
Pr 8.7930 5.0767 3.5897
```

The distance to the lowest polymorph of the same formula is 17.31 kJ/mol of atoms. The crystal system is cubic.

Density functional theory data (GGA-PBE) for a geometry-optimized CaPrTh structure.

Geometry as extended XYZ:
```
6
Lattice="3.6765 0.0000 0.0000 0.0000 3.6765 0.0000 0.0000 0.0000 16.0798" Properties=species:S:1:pos:R:3 pbc="T T T"
Pr 1.8383 0.0000 11.7157
Pr 0.0000 1.8383 4.3641
Ca 1.8383 0.0000 1.4723
Th 0.0000 1.8383 9.2255
Ca 0.0000 1.8383 14.6075
Th 1.8383 0.0000 6.8543
```

The distance to the lowest polymorph of the same formula is 0.00 kJ/mol of atoms. The crystal system is tetragonal.

Density functional theory data (GGA-PBE) for a geometry-optimized Ca2Pr4Th structure.

Geometry as extended XYZ:
```
7
Lattice="3.5389 0.0000 -0.5919 -0.2558 5.8237 -1.5296 0.2693 0.1713 12.4864" Properties=species:S:1:pos:R:3 pbc="T T T"
Pr 2.2619 0.7962 2.6486
Ca 1.0687 1.7240 6.3901
Pr 3.3874 2.6097 9.3783
Pr 1.2905 5.1988 7.7163
Pr 0.1650 3.3853 0.9866
Th 0.0000 0.0000 0.0000
Ca 2.4837 4.2710 3.9748
```

The calculation puts the total energy at -29.68 eV per cell. The crystal system is orthorhombic.